(w)
# HgTe2Se (PBE-GGA, optimized geometry)
data_HgTe2Se
_cell_length_a 11.210
_cell_length_b 11.210
_cell_length_c 11.210
_cell_angle_alpha 20.55
_cell_angle_beta 20.55
_cell_angle_gamma 20.55
_symmetry_space_group_name_H-M 'P 1'
_symmetry_Int_Tables_number 1
_symmetry_space_group_name_Hall 'P 1'
loop_
_atom_site_label
_atom_site_fract_x
_atom_site_fract_y
_atom_site_fract_z
Se1 0.500 0.500 0.500
Hg1 0.000 0.000 0.000
Te1 0.886 0.886 0.886
Te2 0.114 0.114 0.114
# * total magnetization: 0.00 μB per formula unit


(x)
# HgTe2Se (PBE-GGA, optimized geometry)
data_HgTe2Se
_cell_length_a 4.598
_cell_length_b 4.598
_cell_length_c 8.078
_cell_angle_alpha 90.00
_cell_angle_beta 90.00
_cell_angle_gamma 126.90
_symmetry_space_group_name_H-M 'P 1'
_symmetry_Int_Tables_number 1
_symmetry_space_group_name_Hall 'P 1'
loop_
_atom_site_label
_atom_site_fract_x
_atom_site_fract_y
_atom_site_fract_z
Te1 0.000 0.000 0.989
Te2 0.500 0.500 0.250
Hg1 0.000 0.000 0.515
Se1 0.500 0.500 0.746
# * total magnetization: 0.00 μB per formula unit


If you had to bet on the most stable structure above, which would it be? Bet on (x).